Here is crystalline Pm4SnSb3 at its relaxed geometry from Alexandria. Energies are from PBE.

```
8
Lattice="6.3532 0.0000 0.0000 0.0000 6.3532 0.0000 0.0000 0.0000 6.3532" Properties=species:S:1:pos:R:3 pbc="T T T"
Sb 0.0000 3.1766 3.1766
Sb 3.1766 0.0000 3.1766
Sb 3.1766 3.1766 0.0000
Sn 0.0000 0.0000 0.0000
Pm 3.1766 0.0000 0.0000
Pm 0.0000 3.1766 0.0000
Pm 0.0000 0.0000 3.1766
Pm 3.1766 3.1766 3.1766
```

Output
uncorrected formation energy = -1025 meV/atom
space-group type = No. 221
VASP energy = -5.447 eV per atom